(1)
First-principles (GGA-PBE) data for crystalline Nb2Co3Pt4 at its relaxed geometry, as listed in Alexandria via LeMat-Bulk.

The structure belongs to space group C2/m (No. 12); the cell edges are 8.7731, 3.8976 and 8.1390 Å and the angles 90.00°, 110.26° and 90.00°. The inequivalent atoms are Nb at (0.1741, 0.0000, 0.2344), Co at (0.0000, 0.5000, 0.0000), Co at (0.1605, 0.0000, 0.5499), Pt at (0.0116, 0.5000, 0.3368) and Pt at (0.1633, 0.0000, 0.8891).

For the formation energy, the calculation gives -0.402 eV per atom.

(2)
First-principles (GGA-PBE) data for crystalline Nb3Co3Pt2 at its relaxed geometry, as listed in Alexandria via LeMat-Bulk.

The structure belongs to space group Pmmm (No. 47); the cell edges are 3.8714, 3.9059 and 7.6710 Å and the angles 90.00°, 90.00° and 90.00°. The inequivalent atoms are Nb at (0.0000, 0.0000, 0.0000), Nb at (0.5000, 0.0000, 0.2685), Co at (0.0000, 0.0000, 0.5000), Co at (0.5000, 0.5000, 0.0000), Co at (0.5000, 0.5000, 0.5000) and Pt at (0.0000, 0.5000, 0.2636).

For the formation energy, the calculation gives -0.322 eV per atom.

(3)
First-principles (GGA-PBE) data for crystalline Nb2CoPt6 at its relaxed geometry, as listed in Alexandria via LeMat-Bulk.

The structure belongs to space group C2/m (No. 12); the cell edges are 12.0334, 3.8974 and 6.2979 Å and the angles 90.00°, 108.73° and 90.00°. The inequivalent atoms are Nb at (0.0571, 0.0000, 0.3173), Co at (0.0000, 0.5000, 0.0000), Pt at (0.1023, 0.5000, 0.6693), Pt at (0.1615, 0.0000, 0.0043) and Pt at (0.2169, 0.5000, 0.3342).

For the formation energy, the calculation gives -0.515 eV per atom.

(4)
First-principles (GGA-PBE) data for crystalline NbCoPt3 at its relaxed geometry, as listed in Alexandria via LeMat-Bulk.

The structure belongs to space group Pm-3m (No. 221); the cell edges are 4.8447, 4.8447 and 4.8447 Å and the angles 90.00°, 90.00° and 90.00°. The inequivalent atoms are Nb at (0.0000, 0.0000, 0.0000), Co at (0.5000, 0.5000, 0.5000) and Pt at (0.0000, 0.0000, 0.5000).

For the formation energy, the calculation gives 1.327 eV per atom.

(5)
First-principles (GGA-PBE) data for crystalline NbCo2Pt at its relaxed geometry, as listed in Alexandria via LeMat-Bulk.

The structure belongs to space group Fm-3m (No. 225); the cell edges are 6.0124, 6.0124 and 6.0124 Å and the angles 90.00°, 90.00° and 90.00°. The inequivalent atoms are Nb at (0.0000, 0.0000, 0.0000), Co at (0.2500, 0.2500, 0.2500) and Pt at (0.0000, 0.0000, 0.5000).

For the formation energy, the calculation gives -0.160 eV per atom.

(6)
First-principles (GGA-PBE) data for crystalline Nb2CoPt at its relaxed geometry, as listed in Alexandria via LeMat-Bulk.

The structure belongs to space group R-3m (No. 166, hexagonal axes); the cell edges are 2.8029, 2.8029 and 28.8156 Å and the angles 90.00°, 90.00° and 120.00°. The inequivalent atoms are Nb at (0.0000, 0.0000, 0.0924), Co at (0.0000, 0.0000, 0.5000) and Pt at (0.0000, 0.0000, 0.0000).

For the formation energy, the calculation gives 0.246 eV per atom.

Number 1: density of states at the Fermi level 16.08 states/eV per cell, total energy -7.693 eV/atom, total moment 4.0 μB per formula unit. Number 2: density of states at the Fermi level 7.74 states/eV per cell, total energy -8.273 eV/atom, total moment 0.9 μB per formula unit. Number 3: density of states at the Fermi level 12.46 states/eV per cell, total energy -7.570 eV/atom, total moment 0.8 μB per formula unit. Number 4: density of states at the Fermi level 11.02 states/eV per cell, total energy -5.733 eV/atom, total moment 2.2 μB per formula unit. Number 5: density of states at the Fermi level 25.81 states/eV per cell, total energy -7.740 eV/atom, total moment 0.8 μB per formula unit. Number 6: density of states at the Fermi level 15.43 states/eV per cell, total energy -8.075 eV/atom, total moment 0.7 μB per formula unit.